# BaMnO3

BaMnO3 after structural relaxation (PBE with a Hubbard U, the Alexandria database).

Cell lengths 4.0387, 4.0381, 4.0388 Å; angles 90.00, 90.00, 90.00 degrees
Closest atoms and distances in Å follow each position.
Element x y z (fractional)
Mn 0.5058 0.5059 0.5058  6 O 2.02
O 0.0058 0.5057 0.5058  2 Mn 2.02
O 0.5058 0.0058 0.5058  2 Mn 2.02
O 0.5058 0.5057 0.0058  2 Mn 2.02
Ba 0.0058 0.0058 0.0058  12 O 2.86

Calculated values
As for the crystal system: cubic. As for the total energy: -6.792 eV per atom. As for the space group: Pm-3m, No. 221. The value obtained for the total magnetization is 3.00 μB per formula unit.